# CaPrAs2 | Alexandria | GGA-PBE | relaxed
data_CaPrAs2
_cell_length_a 4.360
_cell_length_b 4.360
_cell_length_c 7.320
_cell_angle_alpha 72.67
_cell_angle_beta 72.67
_cell_angle_gamma 60.00
_symmetry_space_group_name_H-M 'P 1'
_symmetry_Int_Tables_number 1
_symmetry_space_group_name_Hall 'P 1'
loop_
_atom_site_label
_atom_site_fract_x
_atom_site_fract_y
_atom_site_fract_z
Ca1 0.496 0.496 0.512
Pr1 0.669 0.669 0.992
As1 0.084 0.084 0.747
As2 0.250 0.250 0.249
# Excess energy over the best structure of this formula in the dataset, kJ/mol of atoms: 5.99
# Energy of formation from the pure elements, eV per atom: -1.0967
# Mass density, g cm⁻³: 4.85
# E_tot, eV/atom: -5.1167

=====

# K2AlBSb | Alexandria | GGA-PBE | relaxed
data_K2AlBSb
_cell_length_a 6.652
_cell_length_b 3.880
_cell_length_c 6.652
_cell_angle_alpha 90.00
_cell_angle_beta 90.00
_cell_angle_gamma 90.00
_symmetry_space_group_name_H-M 'P 1'
_symmetry_Int_Tables_number 1
_symmetry_space_group_name_Hall 'P 1'
loop_
_atom_site_label
_atom_site_fract_x
_atom_site_fract_y
_atom_site_fract_z
Sb1 0.500 0.500 0.500
K1 0.000 0.000 0.500
K2 0.500 0.000 0.000
B1 0.000 0.500 0.000
Al1 0.000 0.000 0.000
# Raw formation energy, kJ per mole of atoms: 53
# Mass density, g cm⁻³: 2.30
# E_tot, eV/atom: -2.8003

=====

# PuPH | Alexandria | GGA-PBE | relaxed
data_PuPH
_cell_length_a 3.682
_cell_length_b 3.772
_cell_length_c 3.772
_cell_angle_alpha 120.00
_cell_angle_beta 90.00
_cell_angle_gamma 90.00
_symmetry_space_group_name_H-M 'P 1'
_symmetry_Int_Tables_number 1
_symmetry_space_group_name_Hall 'P 1'
loop_
_atom_site_label
_atom_site_fract_x
_atom_site_fract_y
_atom_site_fract_z
P1 0.667 0.333 0.667
H1 0.166 0.000 0.000
Pu1 0.167 0.667 0.333
# Excess energy over the best structure of this formula in the dataset, kJ/mol of atoms: 8.81
# Mass density, g cm⁻³: 10.10
# E_tot, eV/atom: -8.3369

=====

# K2CrPt | Alexandria | GGA-PBE | relaxed
data_K2CrPt
_cell_length_a 6.083
_cell_length_b 6.083
_cell_length_c 5.812
_cell_angle_alpha 61.80
_cell_angle_beta 61.80
_cell_angle_gamma 43.56
_symmetry_space_group_name_H-M 'P 1'
_symmetry_Int_Tables_number 1
_symmetry_space_group_name_Hall 'P 1'
loop_
_atom_site_label
_atom_site_fract_x
_atom_site_fract_y
_atom_site_fract_z
Cr1 0.175 0.175 0.328
K1 0.971 0.971 0.030
K2 0.778 0.778 0.722
Pt1 0.576 0.576 0.420
# Excess energy over the best structure of this formula in the dataset, kJ/mol of atoms: 10.77
# Energy of formation from the pure elements, eV per atom: 0.3787
# Mass density, g cm⁻³: 4.23
# E_tot, eV/atom: -4.0861

=====

# Li2SmDyTe4 | Alexandria | GGA-PBE | relaxed
data_Li2SmDyTe4
_cell_length_a 4.382
_cell_length_b 7.585
_cell_length_c 7.506
_cell_angle_alpha 109.65
_cell_angle_beta 90.00
_cell_angle_gamma 90.00
_symmetry_space_group_name_H-M 'P 1'
_symmetry_Int_Tables_number 1
_symmetry_space_group_name_Hall 'P 1'
loop_
_atom_site_label
_atom_site_fract_x
_atom_site_fract_y
_atom_site_fract_z
Li1 0.500 0.000 0.500
Li2 0.000 0.500 0.500
Sm1 0.000 0.000 0.000
Dy1 0.500 0.500 0.000
Te1 0.500 0.257 0.259
Te2 0.500 0.743 0.741
Te3 0.000 0.252 0.744
Te4 0.000 0.748 0.256
# Raw formation energy, kJ per mole of atoms: -125
# Mass density, g cm⁻³: 5.92
# E_tot, eV/atom: -4.5085

=====

# TlVTe2 | Alexandria | GGA-PBE | relaxed
data_TlVTe2
_cell_length_a 3.362
_cell_length_b 3.362
_cell_length_c 8.954
_cell_angle_alpha 90.00
_cell_angle_beta 90.00
_cell_angle_gamma 90.00
_symmetry_space_group_name_H-M 'P 1'
_symmetry_Int_Tables_number 1
_symmetry_space_group_name_Hall 'P 1'
loop_
_atom_site_label
_atom_site_fract_x
_atom_site_fract_y
_atom_site_fract_z
Tl1 0.500 0.500 0.500
Te1 0.000 0.000 0.822
Te2 0.000 0.000 0.178
V1 0.500 0.500 0.000
# Raw formation energy, kJ per mole of atoms: -9
# Mass density, g cm⁻³: 8.38
# E_tot, eV/atom: -4.5342

=====

# Li2LaHoGe2 | Alexandria | GGA-PBE | relaxed
data_Li2LaHoGe2
_cell_length_a 4.480
_cell_length_b 4.480
_cell_length_c 7.477
_cell_angle_alpha 90.00
_cell_angle_beta 90.00
_cell_angle_gamma 120.00
_symmetry_space_group_name_H-M 'P 1'
_symmetry_Int_Tables_number 1
_symmetry_space_group_name_Hall 'P 1'
loop_
_atom_site_label
_atom_site_fract_x
_atom_site_fract_y
_atom_site_fract_z
Li1 0.333 0.667 0.705
Li2 0.667 0.333 0.295
La1 0.000 0.000 0.000
Ho1 0.000 0.000 0.500
Ge1 0.333 0.667 0.268
Ge2 0.667 0.333 0.732
# Energy of formation from the pure elements, eV per atom: -0.6830
# Mass density, g cm⁻³: 5.92
# E_tot, eV/atom: -4.4443

=====

# Tl2GaRe | Alexandria | GGA-PBE | relaxed
data_Tl2GaRe
_cell_length_a 10.496
_cell_length_b 10.496
_cell_length_c 7.817
_cell_angle_alpha 47.82
_cell_angle_beta 47.82
_cell_angle_gamma 90.00
_symmetry_space_group_name_H-M 'P 1'
_symmetry_Int_Tables_number 1
_symmetry_space_group_name_Hall 'P 1'
loop_
_atom_site_label
_atom_site_fract_x
_atom_site_fract_y
_atom_site_fract_z
Re1 0.000 0.000 0.000
Re2 0.750 0.250 0.500
Tl1 0.876 0.125 0.250
Tl2 0.874 0.625 0.250
Tl3 0.375 0.124 0.750
Tl4 0.875 0.126 0.750
Ga1 0.500 0.500 0.000
Ga2 0.250 0.750 0.500
# Excess energy over the best structure of this formula in the dataset, kJ/mol of atoms: 0.00
# Energy of formation from the pure elements, eV per atom: 0.6457
# Mass density, g cm⁻³: 8.17
# E_tot, eV/atom: -4.4061